1.
Material: Ho2CoPdC
Method: DFT, GGA-PBE
State: relaxed

POSCAR file:
```
Ho2CoPdC
1.0
-2.882 -2.143 0.163
2.919 -3.845 1.066
-0.462 0.987 4.822
Ho Co Pd C
2 1 1 1
Cartesian
-0.231 0.493 2.411
1.459 -1.922 0.533
-1.441 -1.071 0.081
-0.213 -2.500 3.025
0.000 0.000 0.000
```

---

2.
Material: InTcNi2
Method: DFT, GGA-PBE
State: relaxed

POSCAR file:
```
InTcNi2
1.0
2.791 0.000 0.000
0.000 2.791 0.000
0.000 0.000 7.240
In Tc Ni
1 1 2
Cartesian
1.396 1.396 5.430
1.396 1.396 1.810
0.000 0.000 0.128
0.000 0.000 3.493
```

---

no.,theoretical density (g/cm3),ΔE_f (eV per formula unit),uncorrected energy (hartree per atom)
1,9.59,-2.87,-0.2466
2,9.72,0.28,-0.2240